VASP calculation (PBE with a Hubbard U) on an optimized crystal structure of Nb2CoF.

Values from the calculation:
ΔE to the lowest computed polymorph, meV/atom: 245
SG: I-42d (122)

a = 4.485 Å, b = 4.485 Å, c = 12.967 Å
α = 90.00°, β = 90.00°, γ = 90.00°
Element x y z (fractional)
Nb1 0.223 0.250 0.125
Nb2 0.250 0.723 0.375
Nb3 0.250 0.777 0.875
Nb4 0.277 0.250 0.625
Nb5 0.723 0.750 0.625
Nb6 0.750 0.223 0.875
Nb7 0.750 0.277 0.375
Nb8 0.777 0.750 0.125
Co1 0.000 0.000 0.500
Co2 0.000 0.500 0.750
Co3 0.500 0.000 0.250
Co4 0.500 0.500 0.000
F1 0.000 0.000 0.000
F2 0.000 0.500 0.250
F3 0.500 0.000 0.750
F4 0.500 0.500 0.500